# 1
GdYInIr after structural relaxation, computed with PBE.

a = 5.1041 Å, b = 5.1041 Å, c = 5.1041 Å
α = 60.00°, β = 60.00°, γ = 60.00°
With the nearest neighbours (Å) after each atom.
Positions (direct):
Y (0.7500, 0.7500, 0.7500)  4 Ir 3.13, 4 In 3.13
In (0.5000, 0.5000, 0.5000)  4 Y 3.13, 4 Gd 3.13
Gd (0.2500, 0.2500, 0.2500)  4 In 3.13, 4 Ir 3.13
Ir (0.0000, 0.0000, 0.0000)  4 Y 3.13, 4 Gd 3.13

Values from the calculation:
- Crystal system: cubic
- Formation energy from the elements: -2.14 eV per formula unit
- M_tot: 7.1 μB/cell
- Fermi-level density of states: 2.61 states/eV/cell
- Space group: No. 216

=====

# 2
GdZnInIr after structural relaxation, computed with PBE.

a = 4.8106 Å, b = 4.8106 Å, c = 4.8106 Å
α = 60.00°, β = 60.00°, γ = 60.00°
With the nearest neighbours (Å) after each atom.
Positions (direct):
Gd (0.0000, 0.0000, 0.0000)  4 Zn 2.95, 4 Ir 2.95
Ir (0.7500, 0.7500, 0.7500)  4 Gd 2.95, 4 In 2.95
Zn (0.2500, 0.2500, 0.2500)  4 In 2.95, 4 Gd 2.95
In (0.5000, 0.5000, 0.5000)  4 Ir 2.95, 4 Zn 2.95

Values from the calculation:
- Crystal system: cubic
- Formation energy from the elements: -1.49 eV per formula unit
- M_tot: 7.1 μB/cell
- Fermi-level density of states: 2.18 states/eV/cell
- Space group: No. 216

=====

# 3
KGdIn4 after structural relaxation, computed with PBE.

a = 6.2052 Å, b = 6.2052 Å, c = 6.2052 Å
α = 60.00°, β = 60.00°, γ = 60.00°
With the nearest neighbours (Å) after each atom.
Positions (direct):
In (0.6254, 0.1239, 0.6254)  6 In 3.09-3.11
In (0.1239, 0.6254, 0.6254)  6 In 3.09-3.11
K (0.2500, 0.2500, 0.2500)  12 In 3.64, 4 Gd 3.80
In (0.6254, 0.6254, 0.6254)  6 In 3.09-3.11
Gd (0.0000, 0.0000, 0.0000)  12 In 3.64, 4 K 3.80
In (0.6254, 0.6254, 0.1239)  6 In 3.09-3.11

Values from the calculation:
- Crystal system: cubic
- Formation energy from the elements: -1.07 eV per formula unit
- M_tot: 7.3 μB/cell
- Fermi-level density of states: 6.18 states/eV/cell
- Space group: No. 216

=====

# 4
KGdTlIn after structural relaxation, computed with PBE.

a = 5.5983 Å, b = 5.5983 Å, c = 5.5983 Å
α = 60.00°, β = 60.00°, γ = 60.00°
With the nearest neighbours (Å) after each atom.
Positions (direct):
Gd (0.0000, 0.0000, 0.0000)  4 In 3.43, 4 Tl 3.43
K (0.5000, 0.5000, 0.5000)  4 Tl 3.43, 4 In 3.43
Tl (0.7500, 0.7500, 0.7500)  4 K 3.43, 4 Gd 3.43
In (0.2500, 0.2500, 0.2500)  4 Gd 3.43, 4 K 3.43

Values from the calculation:
- Crystal system: cubic
- Formation energy from the elements: -0.40 eV per formula unit
- M_tot: 7.0 μB/cell
- Fermi-level density of states: 4.32 states/eV/cell
- Space group: No. 216

=====

# 5
LaGdIn2 after structural relaxation, computed with PBE.

a = 3.8518 Å, b = 3.8518 Å, c = 7.8174 Å
α = 90.00°, β = 90.00°, γ = 90.00°
With the nearest neighbours (Å) after each atom.
Positions (direct):
La (0.5000, 0.5000, 0.5000)  8 In 3.42
In (0.0000, 0.0000, 0.7652)  4 Gd 3.28, 4 La 3.42, 1 In 3.67
In (0.0000, 0.0000, 0.2348)  4 Gd 3.28, 4 La 3.42, 1 In 3.67
Gd (0.5000, 0.5000, 0.0000)  8 In 3.28

Values from the calculation:
- Crystal system: tetragonal
- Formation energy from the elements: -2.04 eV per formula unit
- Energy above the lowest structure with this stoichiometry: 0.0 meV per atom
- M_tot: 7.2 μB/cell
- Fermi-level density of states: 2.73 states/eV/cell
- Space group: No. 123

=====

# 6
LaGdIn4 after structural relaxation, computed with PBE.

a = 6.0955 Å, b = 6.0955 Å, c = 6.0955 Å
α = 60.00°, β = 60.00°, γ = 60.00°
With the nearest neighbours (Å) after each atom.
Positions (direct):
In (0.1247, 0.6251, 0.6251)  6 In 3.05
In (0.6251, 0.6251, 0.6251)  6 In 3.05
Gd (0.0000, 0.0000, 0.0000)  12 In 3.57, 4 La 3.73
In (0.6251, 0.1247, 0.6251)  6 In 3.05
In (0.6251, 0.6251, 0.1247)  6 In 3.05
La (0.2500, 0.2500, 0.2500)  12 In 3.57, 4 Gd 3.73

Values from the calculation:
- Crystal system: cubic
- Formation energy from the elements: -2.55 eV per formula unit
- M_tot: 7.6 μB/cell
- Fermi-level density of states: 5.18 states/eV/cell
- Space group: No. 216

=====

# 7
LaGd2In after structural relaxation, computed with PBE.

a = 3.6475 Å, b = 3.6475 Å, c = 9.3383 Å
α = 90.00°, β = 90.00°, γ = 90.00°
With the nearest neighbours (Å) after each atom.
Positions (direct):
Gd (0.0000, 0.0000, 0.2214)  4 In 3.31, 4 Gd 3.65, 4 La 3.66
Gd (0.0000, 0.0000, 0.7786)  4 In 3.31, 4 Gd 3.65, 4 La 3.66
La (0.5000, 0.5000, 0.5000)  4 La 3.65, 8 Gd 3.66
In (0.5000, 0.5000, 0.0000)  8 Gd 3.31, 4 In 3.65

Values from the calculation:
- Crystal system: tetragonal
- Formation energy from the elements: -0.98 eV per formula unit
- Energy above the lowest structure with this stoichiometry: 47.7 meV per atom
- M_tot: 14.7 μB/cell
- Fermi-level density of states: 3.54 states/eV/cell
- Space group: No. 123

=====

# 8
LaGdIn after structural relaxation, computed with PBE.

a = 3.3330 Å, b = 5.4627 Å, c = 5.4627 Å
α = 120.00°, β = 90.00°, γ = 90.00°
With the nearest neighbours (Å) after each atom.
Positions (direct):
In (0.6669, 0.6667, 0.3333)  2 In 3.33, 6 Gd 3.57, 6 La 3.57
Gd (0.1657, 0.3333, 0.6667)  3 La 3.15, 2 Gd 3.33
La (0.1675, 0.0000, 0.0000)  3 Gd 3.15, 2 La 3.33

Values from the calculation:
- Crystal system: trigonal
- Formation energy from the elements: -0.52 eV per formula unit
- Energy above the lowest structure with this stoichiometry: 140.7 meV per atom
- M_tot: 7.7 μB/cell
- Fermi-level density of states: 4.00 states/eV/cell
- Space group: No. 156

=====

# 9
LaGdIn2 after structural relaxation, computed with PBE.

a = 5.4840 Å, b = 5.4840 Å, c = 5.4840 Å
α = 60.00°, β = 60.00°, γ = 60.00°
With the nearest neighbours (Å) after each atom.
Positions (direct):
La (0.0000, 0.0000, 0.0000)  8 In 3.36
Gd (0.5000, 0.5000, 0.5000)  8 In 3.36
In (0.2500, 0.2500, 0.2500)  4 Gd 3.36, 4 La 3.36
In (0.7500, 0.7500, 0.7500)  4 Gd 3.36, 4 La 3.36

Values from the calculation:
- Crystal system: cubic
- Formation energy from the elements: -1.99 eV per formula unit
- Energy above the lowest structure with this stoichiometry: 12.7 meV per atom
- M_tot: 7.2 μB/cell
- Fermi-level density of states: 3.52 states/eV/cell
- Space group: No. 225

=====

# 10
LaGd2In after structural relaxation, computed with PBE.

a = 3.5014 Å, b = 3.5014 Å, c = 12.1784 Å
α = 81.73°, β = 81.73°, γ = 60.00°
With the nearest neighbours (Å) after each atom.
Positions (direct):
La (0.0000, 0.0000, 0.0000)  2 Gd 3.41, 6 La 3.50
In (0.5000, 0.5000, 0.5000)  6 Gd 3.29, 6 In 3.50
Gd (0.0948, 0.0948, 0.7157)  3 In 3.29, 1 La 3.41, 6 Gd 3.50
Gd (0.9052, 0.9052, 0.2843)  3 In 3.29, 1 La 3.41, 6 Gd 3.50

Values from the calculation:
- Crystal system: trigonal
- Formation energy from the elements: 0.01 eV per formula unit
- Energy above the lowest structure with this stoichiometry: 294.8 meV per atom
- M_tot: 15.2 μB/cell
- Fermi-level density of states: 6.17 states/eV/cell
- Space group: No. 166

=====

# 11
LaGd2In after structural relaxation, computed with PBE.

a = 4.9085 Å, b = 4.9729 Å, c = 4.9729 Å
α = 90.00°, β = 90.00°, γ = 90.00°
With the nearest neighbours (Å) after each atom.
Positions (direct):
Gd (0.0000, 0.5000, 0.0000)  4 La 3.49, 4 In 3.49, 4 Gd 3.52
Gd (0.0000, 0.0000, 0.5000)  4 La 3.49, 4 In 3.49, 4 Gd 3.52
La (0.5000, 0.5000, 0.5000)  8 Gd 3.49, 4 In 3.52
In (0.5000, 0.0000, 0.0000)  8 Gd 3.49, 4 La 3.52

Values from the calculation:
- Crystal system: tetragonal
- Formation energy from the elements: -1.17 eV per formula unit
- Energy above the lowest structure with this stoichiometry: 0.0 meV per atom
- M_tot: 15.5 μB/cell
- Fermi-level density of states: 3.73 states/eV/cell
- Space group: No. 123

=====

# 12
LaGd2In after structural relaxation, computed with PBE.

a = 5.5296 Å, b = 5.5296 Å, c = 5.5296 Å
α = 60.00°, β = 60.00°, γ = 60.00°
With the nearest neighbours (Å) after each atom.
Positions (direct):
Gd (0.7500, 0.7500, 0.7500)  4 In 3.39, 4 La 3.39
Gd (0.2500, 0.2500, 0.2500)  4 In 3.39, 4 La 3.39
La (0.0000, 0.0000, 0.0000)  8 Gd 3.39
In (0.5000, 0.5000, 0.5000)  8 Gd 3.39

Values from the calculation:
- Crystal system: cubic
- Formation energy from the elements: -0.64 eV per formula unit
- Energy above the lowest structure with this stoichiometry: 133.5 meV per atom
- M_tot: 17.0 μB/cell
- Fermi-level density of states: 5.99 states/eV/cell
- Space group: No. 225